Compound: Tc2GeH2
Source: OQMD via LeMat-Bulk
Functional: PBE
Structure: optimized geometry

Lattice parameters (Å, degrees): 3.079 3.079 10.326 90.00 90.00 90.00
Element x y z (fractional)
Tc 0.000 0.000 0.144
Tc 0.000 0.000 0.856
Tc 0.500 0.500 0.356
Tc 0.500 0.500 0.644
Ge 0.000 0.000 0.500
Ge 0.500 0.500 0.000
H 0.000 0.500 0.250
H 0.000 0.500 0.750
H 0.500 0.000 0.250
H 0.500 0.000 0.750

* spin magnetization: 0.0 μB per formula unit
* crystal system: tetragonal
* E: -6.382 eV per atom